Entry from Alexandria via LeMat-Bulk: TmThCdPt after structural relaxation (PBE-GGA).

Unit cell a=5.170 b=5.170 c=5.170 alpha=60.00 beta=60.00 gamma=60.00
Fractional coordinates of all 4 atoms:
Pt  0.000  0.000  0.000
Cd  0.500  0.500  0.500
Tm  0.750  0.750  0.750
Th  0.250  0.250  0.250

Calculated formation energy (eV per atom): -0.583
N(E_F) (states/eV/f.u.): 3.604

***

Entry from Alexandria via LeMat-Bulk: CaZr3Cr after structural relaxation (PBE-GGA).

Unit cell a=5.011 b=5.011 c=5.011 alpha=90.00 beta=90.00 gamma=90.00
Fractional coordinates of all 5 atoms:
Zr  0.000  0.000  0.500
Zr  0.500  0.000  0.000
Zr  0.000  0.500  0.000
Ca  0.500  0.500  0.500
Cr  0.000  0.000  0.000

Calculated formation energy (eV per atom): 0.447
N(E_F) (states/eV/f.u.): 11.227
Energy relative to the lowest polymorph listed for this composition (eV per atom): 0.000

***

Entry from Alexandria via LeMat-Bulk: MnBiOsBr2 after structural relaxation (PBE-GGA).

Unit cell a=5.824 b=5.233 c=5.824 alpha=90.00 beta=90.00 gamma=90.00
Site moments in Bohr magnetons follow the coordinates.
Fractional coordinates of all 5 atoms:
Br  0.000  0.000  0.500  -0.03
Br  0.500  0.000  0.000  -0.04
Mn  0.500  0.500  0.500  -4.74
Bi  0.000  0.000  0.000  -0.07
Os  0.000  0.500  0.000  1.67

Formation energy without anion corrections (eV/atom): 1.321
N(E_F) (states/eV/f.u.): 10.156

***

Entry from Alexandria via LeMat-Bulk: BeSi3Ag after structural relaxation (PBE-GGA).

Unit cell a=4.345 b=4.345 c=4.345 alpha=90.00 beta=90.00 gamma=90.00
Fractional coordinates of all 5 atoms:
Si  0.500  0.000  0.000
Si  0.000  0.500  0.000
Si  0.000  0.000  0.500
Be  0.000  0.000  0.000
Ag  0.500  0.500  0.500

Formation energy without anion corrections (eV/atom): 0.717
N(E_F) (states/eV/f.u.): 2.786
Energy relative to the lowest polymorph listed for this composition (eV per atom): 0.000

***

Entry from Alexandria via LeMat-Bulk: TmPa2CuO8 after structural relaxation (PBE-GGA).

Unit cell a=5.318 b=5.318 c=6.589 alpha=113.80 beta=113.80 gamma=90.00
Site moments in Bohr magnetons follow the coordinates.
Fractional coordinates of all 12 atoms:
O  0.606  0.698  0.806  0.06
O  0.867  0.920  0.307  0.19
O  0.080  0.560  0.693  0.19
O  0.613  0.133  0.693  0.19
O  0.302  0.800  0.194  0.06
O  0.893  0.394  0.194  0.06
O  0.200  0.107  0.806  0.06
O  0.440  0.387  0.307  0.19
Pa  0.250  0.750  0.500  0.02
Pa  0.500  0.500  0.000  0.01
Tm  0.000  0.000  0.000  0.00
Cu  0.750  0.250  0.500  0.82

Formation energy without anion corrections (eV/atom): -2.865
N(E_F) (states/eV/f.u.): 6.074

***

Entry from Alexandria via LeMat-Bulk: Rb2AgAsOs after structural relaxation (PBE-GGA).

Unit cell a=6.781 b=4.598 c=6.781 alpha=90.00 beta=90.00 gamma=90.00
Site moments in Bohr magnetons follow the coordinates.
Fractional coordinates of all 5 atoms:
Rb  0.000  0.000  0.500  0.00
Rb  0.500  0.000  0.000  0.00
Os  0.000  0.500  0.000  1.05
As  0.000  0.000  0.000  -0.03
Ag  0.500  0.500  0.500  0.01

Calculated formation energy (eV per atom): 0.620
N(E_F) (states/eV/f.u.): 7.492

***

Question: Which of these has the highest N(E_F)?
Answer: CaZr3Cr